--- 1 ---
Here is a geometry-optimized Pm4Y2Tm3 structure from Alexandria. Energies are from PBE.

a = 7.0325 Å, b = 12.0448 Å, c = 12.0448 Å
α = 47.97°, β = 54.30°, γ = 54.30°
Fractional coordinates of all 18 atoms:
Tm: 0.9095 0.1702 0.1703
Tm: 0.0905 0.8298 0.8297
Tm: 0.7500 0.4997 0.5003
Tm: 0.2500 0.5003 0.4997
Tm: 0.4095 0.1703 0.1702
Tm: 0.5905 0.8297 0.8298
Y: 0.1828 0.4684 0.8489
Y: 0.3172 0.1511 0.5316
Y: 0.6828 0.8489 0.4684
Y: 0.8172 0.5316 0.1511
Pm: 0.6510 0.5290 0.8203
Pm: 0.4634 0.8538 0.1829
Pm: 0.3490 0.4710 0.1797
Pm: 0.1510 0.8203 0.5290
Pm: 0.5366 0.1462 0.8171
Pm: 0.0366 0.8171 0.1462
Pm: 0.8490 0.1797 0.4710
Pm: 0.9634 0.1829 0.8538

--- 2 ---
Here is a geometry-optimized Pm4Y2Tm3 structure from Alexandria. Energies are from PBE.

a = 3.5432 Å, b = 8.6000 Å, c = 10.0118 Å
α = 98.60°, β = 100.19°, γ = 90.00°
Fractional coordinates of all 9 atoms:
Tm: 0.0000 0.0000 0.0000
Tm: 0.8935 0.6424 0.7870
Tm: 0.1065 0.3576 0.2130
Pm: 0.2805 0.3496 0.5610
Pm: 0.4526 0.3131 0.9052
Pm: 0.7195 0.6504 0.4390
Pm: 0.5474 0.6869 0.0948
Y: 0.3328 0.9547 0.6656
Y: 0.6672 0.0453 0.3344

Name the least stable of them. 2.

--- 1 ---
Here is a geometry-optimized Pm5Y2Tm2 structure from Alexandria. Energies are from PBE.

a = 11.9428 Å, b = 6.7221 Å, c = 10.1394 Å
α = 109.36°, β = 126.08°, γ = 90.00°
Fractional coordinates of all 18 atoms:
Pm: 0.9809 0.1505 0.5000
Pm: 0.8185 0.7642 0.0979
Pm: 0.4200 0.5339 0.2890
Pm: 0.0191 0.6505 0.5000
Pm: 0.2206 0.1663 0.9021
Pm: 0.1815 0.6663 0.9021
Pm: 0.3689 0.0339 0.2890
Pm: 0.7794 0.2642 0.0979
Pm: 0.5800 0.2450 0.7110
Pm: 0.6311 0.7450 0.7110
Tm: 0.0000 0.0612 0.0000
Tm: 0.2462 0.3317 0.5000
Tm: 0.5000 0.5612 0.0000
Tm: 0.7538 0.8317 0.5000
Y: 0.1409 0.6706 0.2580
Y: 0.8591 0.4126 0.7420
Y: 0.6171 0.1706 0.2580
Y: 0.3829 0.9126 0.7420

--- 2 ---
Here is a geometry-optimized Pm5Y2Tm2 structure from Alexandria. Energies are from PBE.

a = 3.6343 Å, b = 7.5857 Å, c = 13.2369 Å
α = 115.37°, β = 97.89°, γ = 103.87°
Fractional coordinates of all 9 atoms:
Pm: 0.6059 0.8205 0.3899
Pm: 0.0000 0.0000 0.0000
Pm: 0.7996 0.4117 0.1882
Pm: 0.3941 0.1795 0.6101
Pm: 0.2004 0.5883 0.8118
Y: 0.2628 0.1888 0.3370
Y: 0.7372 0.8112 0.6630
Tm: 0.4152 0.7248 0.1066
Tm: 0.5848 0.2752 0.8934

Name the least stable of them. 1.

--- 1 ---
Here is a geometry-optimized Pm5YTm4 structure from Alexandria. Energies are from PBE.

a = 3.5929 Å, b = 3.5929 Å, c = 25.0397 Å
α = 90.00°, β = 90.00°, γ = 90.00°
Fractional coordinates of all 10 atoms:
Tm: 0.0000 0.0000 0.4006
Tm: 0.0000 0.0000 0.2018
Tm: 0.0000 0.0000 0.7982
Tm: 0.0000 0.0000 0.5994
Pm: 0.5000 0.5000 0.1023
Pm: 0.5000 0.5000 0.5000
Pm: 0.5000 0.5000 0.3013
Pm: 0.5000 0.5000 0.6987
Pm: 0.5000 0.5000 0.8977
Y: 0.0000 0.0000 0.0000

--- 2 ---
Here is a geometry-optimized Pm5YTm4 structure from Alexandria. Energies are from PBE.

a = 7.0498 Å, b = 8.9343 Å, c = 8.8384 Å
α = 79.07°, β = 90.05°, γ = 37.92°
Fractional coordinates of all 10 atoms:
Tm: 0.5972 0.1996 0.6019
Tm: 0.1577 0.3904 0.2179
Tm: 0.4999 0.8005 0.3977
Tm: 0.9427 0.6094 0.7825
Pm: 0.1026 0.2006 0.6003
Pm: 0.3027 0.0003 0.9992
Pm: 0.9947 0.7993 0.4001
Pm: 0.6584 0.3903 0.2176
Pm: 0.4375 0.6093 0.7832
Y: 0.7962 0.0003 0.9996

Name the least stable of them. 2.

--- 1 ---
Here is a geometry-optimized Pm2YTm structure from Alexandria. Energies are from PBE.

a = 5.0812 Å, b = 7.1798 Å, c = 7.1799 Å
α = 90.65°, β = 90.01°, γ = 90.01°
Fractional coordinates of all 8 atoms:
Tm: 0.7500 0.1238 0.8762
Tm: 0.2500 0.8762 0.1238
Pm: 0.7500 0.1238 0.3736
Pm: 0.2500 0.8762 0.6264
Pm: 0.7500 0.6264 0.8762
Pm: 0.2500 0.3736 0.1238
Y: 0.7500 0.6262 0.3738
Y: 0.2500 0.3738 0.6262

--- 2 ---
Here is a geometry-optimized Pm2YTm structure from Alexandria. Energies are from PBE.

a = 5.7203 Å, b = 5.7203 Å, c = 5.7203 Å
α = 60.00°, β = 60.00°, γ = 60.00°
Fractional coordinates of all 4 atoms:
Pm: 0.7500 0.7500 0.7500
Pm: 0.2500 0.2500 0.2500
Tm: 0.0000 0.0000 0.0000
Y: 0.5000 0.5000 0.5000

Name the least stable of them. 2.

--- 1 ---
Here is a geometry-optimized PmY5Tm2 structure from Alexandria. Energies are from PBE.

a = 8.4547 Å, b = 16.8083 Å, c = 9.6339 Å
α = 78.20°, β = 104.14°, γ = 157.03°
Fractional coordinates of all 16 atoms:
Y: 0.4441 0.1961 0.2400
Y: 0.5559 0.8039 0.7600
Y: 0.5765 0.3248 0.8638
Y: 0.1967 0.9475 0.9903
Y: 0.6946 0.4469 0.4881
Y: 0.6720 0.9254 0.3847
Y: 0.4235 0.6752 0.1362
Y: 0.3280 0.0746 0.6153
Y: 0.3054 0.5531 0.5119
Y: 0.8033 0.0525 0.0097
Tm: 0.9230 0.1753 0.6352
Tm: 0.8233 0.5732 0.1141
Tm: 0.0770 0.8247 0.3648
Tm: 0.1767 0.4268 0.8859
Pm: 0.9439 0.6958 0.7406
Pm: 0.0561 0.3042 0.2594

--- 2 ---
Here is a geometry-optimized PmY5Tm2 structure from Alexandria. Energies are from PBE.

a = 5.0210 Å, b = 7.1241 Å, c = 14.2570 Å
α = 90.00°, β = 90.00°, γ = 90.00°
Fractional coordinates of all 16 atoms:
Y: 0.5000 0.2508 0.3746
Y: 0.0000 0.5000 0.5000
Y: 0.0000 0.4987 0.7498
Y: 0.5000 0.7492 0.6254
Y: 0.5000 0.7508 0.1254
Y: 0.0000 0.5013 0.2502
Y: 0.5000 0.2492 0.8746
Y: 0.0000 0.9987 0.7502
Y: 0.0000 0.0013 0.2498
Y: 0.0000 0.0000 0.0000
Tm: 0.5000 0.7509 0.3748
Tm: 0.5000 0.2491 0.6252
Tm: 0.5000 0.7491 0.8748
Tm: 0.5000 0.2509 0.1252
Pm: 0.0000 0.0000 0.5000
Pm: 0.0000 0.5000 0.0000

Name the least stable of them. 2.